Record 1
An optimized crystal structure of PuBiTe2N. Source: Alexandria, functional GGA-PBE.

Properties
* ΔE_f (raw): -0.65 eV per atom
* total magnetization: 0.80 μB/atom

```
data_PuBiTe2N
_symmetry_space_group_name_H-M 'P 1'
_symmetry_Int_Tables_number 1
_cell_length_a 4.061
_cell_length_b 4.061
_cell_length_c 17.327
_cell_angle_alpha 90.00
_cell_angle_beta 90.00
_cell_angle_gamma 90.00
loop_
_symmetry_equiv_pos_as_xyz
'x,y,z'
loop_
_atom_site_label
_atom_site_fract_x
_atom_site_fract_y
_atom_site_fract_z
_atom_site_occupancy
Pu1 0.250 0.250 0.060 1
Pu2 0.750 0.750 0.940 1
Bi1 0.250 0.250 0.665 1
Bi2 0.750 0.750 0.335 1
Te1 0.250 0.250 0.404 1
Te2 0.250 0.250 0.837 1
Te3 0.750 0.750 0.163 1
Te4 0.750 0.750 0.596 1
N1 0.250 0.750 0.000 1
N2 0.750 0.250 0.000 1
```


Record 2
An optimized crystal structure of Pu2ThBi2N2. Source: Alexandria, functional GGA-PBE.

Properties
* ΔE_f (raw): -0.62 eV per atom
* total magnetization: 1.62 μB/atom

```
data_Pu2ThBi2N2
_symmetry_space_group_name_H-M 'P 1'
_symmetry_Int_Tables_number 1
_cell_length_a 8.710
_cell_length_b 8.710
_cell_length_c 8.710
_cell_angle_alpha 149.14
_cell_angle_beta 149.14
_cell_angle_gamma 44.20
loop_
_symmetry_equiv_pos_as_xyz
'x,y,z'
loop_
_atom_site_label
_atom_site_fract_x
_atom_site_fract_y
_atom_site_fract_z
_atom_site_occupancy
Pu1 0.092 0.092 0.000 1
Pu2 0.908 0.908 0.000 1
Th1 0.500 0.500 0.000 1
Bi1 0.288 0.288 0.000 1
Bi2 0.712 0.712 0.000 1
N1 0.000 0.500 0.500 1
N2 0.500 0.000 0.500 1
```


Which value of total magnetization does entry 1 give? 0.80 μB/atom